Entry from the Alexandria database: a relaxed structure of Zr6Tl2Re (GGA-PBE).

Values from the calculation:
The value obtained for the energy relative to the elements is -0.115 eV per atom. The value obtained for the density of states at the Fermi level is 9.460 states/eV/cell. The total magnetization comes out at 0.00 μB per cell.

Cell lengths 8.2458, 8.2458, 3.4557 Å; angles 90.00, 90.00, 120.00 degrees
Space group P-62m (No. 189)
Symmetry-distinct sites (fractional):
Zr 0.0000 0.3750 0.0000
Zr 0.0000 0.7464 0.5000
Tl 0.3333 0.6667 0.5000
Re 0.0000 0.0000 0.0000